Below is a relaxed Ba2RuO4 crystal, with properties calculated at the PBE-GGA level.

Summary:
symmetry	P2_1/m, No. 11
energy relative to the elements, uncorrected	-1.81	eV per atom
electronic total energy	-91.25	eV for the cell shown

```
Ba2RuO4
1.0
6.466 0.000 0.000
0.000 5.772 0.000
-2.138 0.000 7.221
Ba Ru O
4 2 8
Direct
0.205 0.250 0.038
0.264 0.250 0.558
0.736 0.750 0.442
0.795 0.750 0.962
0.257 0.750 0.795
0.743 0.250 0.205
0.020 0.528 0.741
0.020 0.972 0.741
0.392 0.750 0.049
0.442 0.750 0.645
0.558 0.250 0.355
0.608 0.250 0.951
0.980 0.028 0.259
0.980 0.472 0.259
```